Entry 1:
This record from Alexandria describes Pr8AsPt3I4 after structural relaxation. The functional is PBE.

Cell and atoms, written as POSCAR:
```
Pr8AsPt3I4
1.0
4.3518 2.5125 7.9889
-4.3518 2.5125 7.9889
0.0000 -5.0250 7.9889
Pr As Pt I
8 1 3 4
Cartesian
-2.2310 -1.2881 13.5206 Pr
0.0000 0.0000 5.4707 Pr
0.0000 -2.5761 10.4460 Pr
-2.2310 1.2881 10.4460 Pr
2.2310 -1.2881 13.5207 Pr
0.0000 2.5761 13.5207 Pr
0.0000 0.0000 18.4959 Pr
2.2310 1.2880 10.4460 Pr
0.0000 0.0000 11.9833 As
-4.3518 0.0000 11.9833 Pt
-2.1759 1.2563 3.9944 Pt
2.1759 1.2563 3.9944 Pt
0.0000 0.0000 0.0000 I
-2.1759 -1.2563 7.9889 I
-2.1759 1.2563 15.9777 I
0.0000 2.5125 7.9889 I
```

Values from the calculation:
Its space group is No. 166. The uncorrected formation energy is -1.12 eV/atom.


Entry 2:
This record from Alexandria describes AlHO after structural relaxation. The functional is PBE.

Cell and atoms, written as POSCAR:
```
AlHO
1.0
3.0969 0.0000 0.0000
-0.0027 4.5969 0.0000
-1.5136 -2.2134 5.2328
Al H O
2 2 2
Cartesian
0.0176 -0.1194 2.1505 Al
1.5629 2.5028 3.0823 Al
0.0165 1.4388 1.6929 H
1.5641 0.9447 3.5399 H
0.0170 -1.3200 3.6055 O
1.5635 3.7035 1.6274 O
```

Values from the calculation:
Its space group is No. 2. For the energy, the calculation gives -5.5029 eV per atom.


Entry 3:
This record from Alexandria describes ZrCoSe4 after structural relaxation. The functional is PBE.

Cell and atoms, written as POSCAR:
```
ZrCoSe4
1.0
0.0000 3.9224 3.9224
3.9224 0.0000 3.9224
3.9224 3.9224 0.0000
Zr Co Se
1 1 4
Cartesian
0.0000 0.0000 0.0000 Zr
5.8836 5.8836 5.8836 Co
2.9443 2.9443 2.9443 Se
4.9005 4.9005 2.9443 Se
4.9005 2.9443 4.9005 Se
2.9443 4.9005 4.9005 Se
```

Values from the calculation:
Its space group is No. 216. The uncorrected formation energy is 0.70 eV/atom.


Entry 4:
This record from Alexandria describes Rb3TlCr2Cl8 after structural relaxation. The functional is PBE.

Cell and atoms, written as POSCAR:
```
Rb3TlCr2Cl8
1.0
7.6957 0.0000 0.0000
-3.8478 6.6647 0.0000
0.0000 0.0000 9.5085
Rb Tl Cr Cl
3 1 2 8
Cartesian
0.0000 0.0000 0.0000 Rb
0.0000 4.4431 5.7614 Rb
3.8479 2.2216 3.7471 Rb
0.0000 0.0000 4.7542 Tl
0.0000 4.4431 1.7084 Cr
3.8479 2.2216 7.8000 Cr
0.0000 2.3716 2.8444 Cl
-1.7940 5.4789 2.8444 Cl
0.0000 4.4431 8.9229 Cl
2.0539 1.1858 6.6641 Cl
1.7940 5.4789 2.8444 Cl
3.8479 2.2216 0.5856 Cl
5.6418 1.1858 6.6641 Cl
3.8478 4.2931 6.6641 Cl
```

Values from the calculation:
Its space group is No. 164. The uncorrected formation energy is -1.30 eV/atom.


Entry 5:
This record from Alexandria describes TmNi5P2 after structural relaxation. The functional is PBE.

Cell and atoms, written as POSCAR:
```
TmNi5P2
1.0
3.6514 0.0000 0.0000
0.0000 6.4567 0.0000
0.0000 0.0000 8.7336
Tm Ni P
2 10 4
Cartesian
0.0000 0.0000 0.0000 Tm
1.8257 3.2284 4.3668 Tm
0.0000 1.2303 3.0390 Ni
0.0000 1.2303 5.6946 Ni
0.0000 3.2284 0.0000 Ni
0.0000 5.2265 3.0390 Ni
0.0000 5.2265 5.6946 Ni
1.8257 0.0000 4.3668 Ni
1.8257 1.9981 1.3278 Ni
1.8257 1.9981 7.4057 Ni
1.8257 4.4586 1.3278 Ni
1.8257 4.4586 7.4057 Ni
0.0000 3.2284 2.1685 P
0.0000 3.2284 6.5651 P
1.8257 0.0000 2.1983 P
1.8257 0.0000 6.5352 P
```

Values from the calculation:
Its space group is No. 71. For the energy, the calculation gives -6.2516 eV per atom.


We obtain total magnetic moment values of 0.0, 0.0, 1.3, 8.0, 0.0 μB/f.u. for the records listed above, in that order.